# 1
## Mg2Al2Ga7 (PBE)

Data for crystalline Mg2Al2Ga7 at its relaxed geometry.

a = 7.261 Å, b = 5.018 Å, c = 6.569 Å
α = 106.75°, β = 91.94°, γ = 67.10°
Positions (direct):
Mg 0.823 0.520 0.844
Al 0.713 0.023 0.275
Mg 0.177 0.480 0.156
Ga 0.059 0.187 0.422
Ga 0.000 0.000 0.000
Ga 0.627 0.625 0.439
Ga 0.421 0.811 0.099
Ga 0.373 0.375 0.561
Al 0.287 0.977 0.725
Ga 0.941 0.813 0.578
Ga 0.579 0.189 0.901

Results
The formation energy comes out at -0.01 eV/atom. Its symmetry is P-1, No. 2.

=====

# 2
## Pa2ZnFe (PBE)

Data for crystalline Pa2ZnFe at its relaxed geometry.

a = 3.431 Å, b = 3.431 Å, c = 6.732 Å
α = 90.00°, β = 90.00°, γ = 90.00°
Positions (direct):
Fe 0.500 0.500 0.000
Pa 0.000 0.000 0.788
Zn 0.500 0.500 0.500
Pa 0.000 0.000 0.212

Results
The formation energy comes out at 0.01 eV/atom. Its symmetry is P4/mmm, No. 123.

=====

# 3
## AcY6Ho3Tm2 (PBE)

Data for crystalline AcY6Ho3Tm2 at its relaxed geometry.

a = 6.199 Å, b = 6.199 Å, c = 11.868 Å
α = 94.98°, β = 94.98°, γ = 119.97°
Positions (direct):
Ac 0.000 0.000 0.000
Ho 0.500 0.500 0.500
Tm 0.333 0.667 0.000
Ho 0.167 0.833 0.500
Y 0.422 0.085 0.254
Y 0.749 0.749 0.254
Y 0.578 0.915 0.746
Y 0.085 0.422 0.254
Y 0.915 0.578 0.746
Ho 0.833 0.167 0.500
Tm 0.667 0.333 0.000
Y 0.251 0.251 0.746

Results
The formation energy comes out at 0.04 eV/atom. Its symmetry is C2/m, No. 12.

=====

# 4
## TaGeBr3 (PBE)

Data for crystalline TaGeBr3 at its relaxed geometry.

a = 5.192 Å, b = 5.192 Å, c = 5.192 Å
α = 90.00°, β = 90.00°, γ = 90.00°
Last column: magnetic moment on the atom in μB.
Positions (direct):
Ge 0.500 0.500 0.500  0.64
Ta 0.000 0.000 0.000  0.92
Br 0.500 0.000 0.000  0.02
Br 0.000 0.000 0.500  0.01
Br 0.000 0.500 0.000  0.01

Results
The energy relative to the elements, uncorrected comes out at 0.33 eV/atom. Its symmetry is Pm-3m, No. 221.

=====

# 5
## Cs2TcBr2F4 (PBE)

Data for crystalline Cs2TcBr2F4 at its relaxed geometry.

a = 6.621 Å, b = 6.754 Å, c = 6.754 Å
α = 64.06°, β = 86.48°, γ = 86.48°
Last column: magnetic moment on the atom in μB.
Positions (direct):
F 0.620 0.291 0.894  0.08
Cs 0.308 0.673 0.673  0.00
Br 0.810 0.856 0.856  0.03
F 0.380 0.106 0.709  0.08
Br 0.190 0.144 0.144  0.03
Cs 0.692 0.327 0.327  0.00
Tc 0.500 0.000 0.000  2.38
F 0.620 0.894 0.291  0.08
F 0.380 0.709 0.106  0.08

Results
The energy relative to the elements, uncorrected comes out at -2.05 eV/atom. Its symmetry is C2/m, No. 12.

=====

# 6
## Np3PaTl3Se8 (PBE)

Data for crystalline Np3PaTl3Se8 at its relaxed geometry.

a = 8.381 Å, b = 8.382 Å, c = 9.199 Å
α = 117.12°, β = 90.00°, γ = 120.00°
Last column: magnetic moment on the atom in μB.
Positions (direct):
Tl 0.000 0.500 0.000  0.00
Np 0.500 0.000 0.500  3.95
Tl 0.000 0.000 0.000  0.00
Se 0.769 0.539 0.298  -0.06
Se 0.734 0.468 0.702  -0.09
Np 0.000 0.500 0.500  3.95
Np 0.500 0.500 0.500  3.95
Pa 0.000 0.000 0.500  0.83
Se 0.259 0.028 0.298  -0.06
Se 0.769 0.028 0.298  -0.06
Se 0.231 0.461 0.702  -0.06
Se 0.231 0.972 0.702  -0.06
Se 0.741 0.972 0.702  -0.06
Tl 0.500 0.500 0.000  0.00
Se 0.266 0.532 0.298  -0.09

Results
The energy relative to the elements, uncorrected comes out at -1.01 eV/atom. Its symmetry is R-3m, No. 166.

=====

# 7
## Cu4BrCl5 (PBE)

Data for crystalline Cu4BrCl5 at its relaxed geometry.

a = 5.999 Å, b = 7.094 Å, c = 10.675 Å
α = 90.00°, β = 90.00°, γ = 90.00°
Last column: magnetic moment on the atom in μB.
Positions (direct):
Cu 0.540 0.759 0.500  0.20
Cu 0.460 0.259 0.000  0.20
Cl 0.786 0.750 0.331  0.09
Cu 0.460 0.741 0.000  0.20
Cl 0.786 0.250 0.669  0.09
Cl 0.214 0.250 0.169  0.09
Cl 0.300 0.000 0.500  0.03
Cl 0.214 0.750 0.169  0.09
Cl 0.214 0.750 0.831  0.09
Br 0.715 0.000 0.000  0.05
Cl 0.700 0.500 0.000  0.03
Cl 0.786 0.250 0.331  0.09
Cu 0.989 0.000 0.759  0.30
Cl 0.214 0.250 0.831  0.09
Cu 0.011 0.500 0.259  0.30
Cu 0.011 0.500 0.741  0.30
Cu 0.989 0.000 0.241  0.30
Br 0.285 0.500 0.500  0.05
Cu 0.540 0.241 0.500  0.20
Cl 0.786 0.750 0.669  0.09

Results
The energy relative to the elements, uncorrected comes out at -0.46 eV/atom. Its symmetry is Pmmn, No. 59.

=====

# 8
## Dy2Ho4Sc5 (PBE)

Data for crystalline Dy2Ho4Sc5 at its relaxed geometry.

a = 3.353 Å, b = 8.350 Å, c = 13.801 Å
α = 124.03°, β = 96.98°, γ = 90.00°
Positions (direct):
Ho 0.272 0.368 0.545
Dy 0.412 0.521 0.824
Sc 0.188 0.898 0.376
Sc 0.871 0.779 0.742
Sc 0.500 0.000 0.000
Dy 0.588 0.479 0.176
Ho 0.045 0.753 0.090
Sc 0.812 0.102 0.624
Ho 0.728 0.632 0.455
Sc 0.129 0.221 0.258
Ho 0.955 0.247 0.910

Results
The formation energy comes out at 0.14 eV/atom. Its symmetry is C2/m, No. 12.

=====

# 9
## CsCeTl2F8 (PBE)

Data for crystalline CsCeTl2F8 at its relaxed geometry.

a = 4.201 Å, b = 6.439 Å, c = 8.692 Å
α = 89.98°, β = 90.00°, γ = 91.11°
Positions (direct):
Tl 0.500 0.500 0.738
F 0.000 0.775 0.806
Tl 0.500 0.500 0.262
F 0.000 0.774 0.195
F 0.000 0.226 0.805
F 0.512 0.302 0.500
Ce 0.000 0.000 0.000
F 0.499 0.190 0.000
Cs 0.000 0.000 0.500
F 0.501 0.810 0.000
F 0.488 0.698 0.500
F 0.000 0.225 0.194

Results
The energy relative to the elements, uncorrected comes out at -2.72 eV/atom. Its symmetry is P2/m, No. 10.

=====

# 10
## Np2H12PdRh3 (PBE)

Data for crystalline Np2H12PdRh3 at its relaxed geometry.

a = 6.046 Å, b = 6.046 Å, c = 6.046 Å
α = 60.47°, β = 60.47°, γ = 60.47°
Last column: magnetic moment on the atom in μB.
Positions (direct):
H 0.335 0.335 0.852  -0.01
H 0.889 0.889 0.374  -0.01
H 0.665 0.148 0.665  -0.01
H 0.852 0.335 0.335  -0.01
H 0.111 0.111 0.626  -0.01
H 0.889 0.374 0.889  -0.01
H 0.665 0.665 0.148  -0.01
H 0.111 0.626 0.111  -0.01
Np 0.613 0.613 0.613  4.20
H 0.148 0.665 0.665  -0.01
Rh 0.000 0.500 0.000  0.06
Rh 0.000 0.000 0.500  0.06
Np 0.387 0.387 0.387  4.20
Pd 0.000 0.000 0.000  -0.04
H 0.374 0.889 0.889  -0.01
H 0.626 0.111 0.111  -0.01
Rh 0.500 0.000 0.000  0.06
H 0.335 0.852 0.335  -0.01

Results
Its symmetry is R-3m, No. 166. Its total energy is -5.27 eV/atom.

=====

# 11
## LaSm3Dy6Tm2 (PBE)

Data for crystalline LaSm3Dy6Tm2 at its relaxed geometry.

a = 6.186 Å, b = 6.186 Å, c = 11.846 Å
α = 94.98°, β = 94.98°, γ = 119.97°
Positions (direct):
Dy 0.083 0.418 0.249
Sm 0.500 0.500 0.500
Dy 0.252 0.252 0.750
Sm 0.833 0.167 0.500
Tm 0.667 0.333 0.000
Sm 0.167 0.833 0.500
Dy 0.418 0.083 0.249
Dy 0.582 0.917 0.751
La 0.000 0.000 0.000
Tm 0.333 0.667 0.000
Dy 0.748 0.748 0.250
Dy 0.917 0.582 0.751

Results
The formation energy comes out at 0.02 eV/atom. Its symmetry is C2/m, No. 12.

=====

# 12
## Ce6TlGa (PBE)

Data for crystalline Ce6TlGa at its relaxed geometry.

a = 4.733 Å, b = 4.733 Å, c = 9.454 Å
α = 90.00°, β = 90.00°, γ = 90.00°
Last column: magnetic moment on the atom in μB.
Positions (direct):
Tl 0.000 0.000 0.000  -0.01
Ga 0.000 0.000 0.500  -0.01
Ce 0.500 0.000 0.262  0.70
Ce 0.000 0.500 0.738  0.70
Ce 0.000 0.500 0.262  0.70
Ce 0.500 0.500 0.500  0.64
Ce 0.500 0.500 0.000  0.78
Ce 0.500 0.000 0.738  0.70

Results
The formation energy comes out at -0.18 eV/atom. Its symmetry is P4/mmm, No. 123.